Density functional theory data (GGA-PBEsol) for a geometry-optimized TlAg2Cl structure. Values from VASP.

Output
ΔE to the lowest computed polymorph	0	meV per atom
size of the total moment	0.0	μB/cell
energy relative to the elements, uncorrected	-0.11	eV per atom

Structure (Quantum ESPRESSO input):
```
&SYSTEM
  ibrav = 0, nat = 4, ntyp = 3
/
ATOMIC_SPECIES
Tl 204.38 Tl.upf
Ag 107.87 Ag.upf
Cl 35.45 Cl.upf
ATOMIC_POSITIONS angstrom
Tl 4.095 -3.640 2.720
Ag -1.828 -2.505 -0.267
Ag 0.020 -2.178 1.801
Cl 1.825 -3.589 0.546
CELL_PARAMETERS angstrom
-0.678 0.149 3.245
-2.153 -2.493 -0.336
6.781 -3.886 1.595
```

***

Density functional theory data (GGA-PBEsol) for a geometry-optimized Tl3AgCl structure. Values from VASP.

Output
size of the total moment	0.0	μB/cell
energy relative to the elements, uncorrected	-0.06	eV per atom

Structure (Quantum ESPRESSO input):
```
&SYSTEM
  ibrav = 0, nat = 5, ntyp = 3
/
ATOMIC_SPECIES
Tl 204.38 Tl.upf
Ag 107.87 Ag.upf
Cl 35.45 Cl.upf
ATOMIC_POSITIONS angstrom
Tl -0.987 -0.684 -2.415
Tl -1.868 -1.533 1.198
Tl -1.676 2.111 0.087
Ag 0.000 0.000 0.000
Cl -4.531 -0.106 -1.129
CELL_PARAMETERS angstrom
-3.353 4.222 0.175
-1.975 -1.368 -4.829
-3.735 -3.066 2.396
```

***

Number 2 is which compound?
Tl3AgCl